Material: Ti2Cd
Method: DFT, GGA-PBEsol
State: optimized geometry

Cell: 6.921 6.921 6.921 Å, 156.51 156.51 33.47°
Sites, in units of the cell vectors:
Ti  0.177  0.177  0.000
Ti  0.823  0.823  0.000
Cd  0.500  0.500  0.000

Energy relative to the elements ... -92 meV per atom